[1]
A plane-wave DFT calculation with GGA-PBE was carried out for a geometry-optimized La2BiH structure.

Cell lengths 4.3277, 4.3277, 7.3617 Å; angles 72.91, 72.91, 60.00 degrees
Fractional positions:
La (0.7361, 0.7361, 0.7918)
La (0.2639, 0.2639, 0.2082)
H (0.0000, 0.0000, 0.0000)
Bi (0.5000, 0.5000, 0.5000)

For the energy relative to the lowest polymorph listed for this composition, the calculation gives 0.129 eV per atom. As for the uncorrected energy: -4.816 eV/atom.



[2]
A plane-wave DFT calculation with GGA-PBE was carried out for a geometry-optimized CeErHg structure.

Cell lengths 6.5215, 8.0821, 7.0181 Å; angles 112.39, 90.00, 90.00 degrees
Fractional positions:
Hg (0.0758, 0.9008, 0.7816)
Hg (0.4242, 0.4008, 0.7816)
Hg (0.9242, 0.0992, 0.2184)
Hg (0.5758, 0.5992, 0.2184)
Ce (0.0746, 0.6693, 0.0581)
Ce (0.5746, 0.8307, 0.9419)
Ce (0.9254, 0.3307, 0.9419)
Ce (0.4254, 0.1693, 0.0581)
Er (0.7578, 0.4385, 0.5127)
Er (0.2578, 0.0615, 0.4873)
Er (0.7422, 0.9385, 0.5127)
Er (0.2422, 0.5615, 0.4873)

For the energy relative to the lowest polymorph listed for this composition, the calculation gives 0.068 eV per atom. As for the uncorrected energy: -3.739 eV/atom.



[3]
A plane-wave DFT calculation with GGA-PBE was carried out for a geometry-optimized LaTmGa4 structure.

Cell lengths 4.2549, 4.2549, 8.5044 Å; angles 90.00, 90.00, 120.00 degrees
Fractional positions:
Ga (0.6667, 0.3333, 0.7652)
Ga (0.6667, 0.3333, 0.2348)
Ga (0.3333, 0.6667, 0.7652)
Ga (0.3333, 0.6667, 0.2348)
La (0.0000, 0.0000, 0.5000)
Tm (0.0000, 0.0000, 0.0000)

For the energy relative to the lowest polymorph listed for this composition, the calculation gives 0.000 eV per atom. As for the uncorrected energy: -4.232 eV/atom.



[4]
A plane-wave DFT calculation with GGA-PBE was carried out for a geometry-optimized FeSb2AsI structure.

Cell lengths 5.4116, 5.4116, 5.4785 Å; angles 90.00, 90.00, 90.00 degrees
Fractional positions:
Sb (0.0000, 0.5000, 0.0000)
Sb (0.5000, 0.0000, 0.0000)
As (0.0000, 0.0000, 0.0000)
I (0.0000, 0.0000, 0.5000)
Fe (0.5000, 0.5000, 0.5000)

For the energy relative to the lowest polymorph listed for this composition, the calculation gives 0.511 eV per atom. As for the uncorrected energy: -3.453 eV/atom. The value obtained for the raw formation energy is 5.6 eV/f.u.



[5]
A plane-wave DFT calculation with GGA-PBE was carried out for a geometry-optimized CuIrRh3 structure.

Cell lengths 8.8358, 6.6722, 6.6722 Å; angles 66.14, 59.40, 59.40 degrees
Fractional positions:
Rh (0.5451, 0.7533, 0.1085)
Rh (0.9549, 0.8915, 0.2467)
Rh (0.5965, 0.3052, 0.3249)
Rh (0.0965, 0.3249, 0.3052)
Rh (0.9035, 0.6751, 0.6948)
Rh (0.4549, 0.2467, 0.8915)
Rh (0.4035, 0.6948, 0.6751)
Rh (0.9152, 0.3541, 0.0748)
Rh (0.5848, 0.9252, 0.6459)
Rh (0.4152, 0.0748, 0.3541)
Rh (0.0848, 0.6459, 0.9252)
Rh (0.0451, 0.1085, 0.7533)
Cu (0.2500, 0.0192, 0.9808)
Cu (0.7500, 0.6265, 0.3735)
Cu (0.2500, 0.3735, 0.6265)
Cu (0.7500, 0.9808, 0.0192)
Ir (0.3159, 0.5627, 0.1477)
Ir (0.8159, 0.1477, 0.5627)
Ir (0.1841, 0.8523, 0.4373)
Ir (0.6841, 0.4373, 0.8523)

For the energy relative to the lowest polymorph listed for this composition, the calculation gives 0.139 eV per atom. As for the uncorrected energy: -6.827 eV/atom.



[6]
A plane-wave DFT calculation with GGA-PBE was carried out for a geometry-optimized Hf4Zr5Tl structure.

Cell lengths 3.1866, 3.1866, 22.7041 Å; angles 90.00, 90.00, 90.00 degrees
Fractional positions:
Tl (0.0000, 0.0000, 0.0000)
Hf (0.0000, 0.0000, 0.7966)
Hf (0.0000, 0.0000, 0.2034)
Hf (0.0000, 0.0000, 0.5986)
Hf (0.0000, 0.0000, 0.4014)
Zr (0.5000, 0.5000, 0.5000)
Zr (0.5000, 0.5000, 0.8929)
Zr (0.5000, 0.5000, 0.3027)
Zr (0.5000, 0.5000, 0.6973)
Zr (0.5000, 0.5000, 0.1071)

As for the uncorrected energy: -8.476 eV/atom.



[7]
A plane-wave DFT calculation with GGA-PBE was carried out for a geometry-optimized Ga2CuHg2 structure.

Cell lengths 3.6397, 3.6397, 8.4333 Å; angles 77.54, 77.54, 90.00 degrees
Fractional positions:
Ga (0.7500, 0.2500, 0.5000)
Ga (0.2500, 0.7500, 0.5000)
Cu (0.0000, 0.0000, 0.0000)
Hg (0.4092, 0.4092, 0.1815)
Hg (0.5908, 0.5908, 0.8185)

For the energy relative to the lowest polymorph listed for this composition, the calculation gives 0.128 eV per atom. As for the uncorrected energy: -1.892 eV/atom.



[8]
A plane-wave DFT calculation with GGA-PBE was carried out for a geometry-optimized Cs2CaSe2 structure.

Cell lengths 4.7395, 4.7395, 9.1165 Å; angles 74.93, 74.93, 90.00 degrees
Fractional positions:
Cs (0.2500, 0.7500, 0.5000)
Cs (0.7500, 0.2500, 0.5000)
Se (0.6014, 0.6014, 0.7972)
Se (0.3986, 0.3986, 0.2028)
Ca (0.0000, 0.0000, 0.0000)

For the energy relative to the lowest polymorph listed for this composition, the calculation gives 0.771 eV per atom. As for the uncorrected energy: -2.798 eV/atom. The value obtained for the raw formation energy is -3.3 eV/f.u.



[9]
A plane-wave DFT calculation with GGA-PBE was carried out for a geometry-optimized Ca2CuAuO5 structure.

Cell lengths 3.2534, 6.7181, 10.8788 Å; angles 90.00, 90.00, 104.01 degrees
Fractional positions:
Ca (0.1466, 0.2931, 0.2932)
Ca (0.0811, 0.1622, 0.6468)
Ca (0.9189, 0.8378, 0.1468)
Ca (0.8534, 0.7069, 0.7932)
O (0.0879, 0.1758, 0.0814)
O (0.7020, 0.4039, 0.9184)
O (0.2980, 0.5961, 0.4184)
O (0.6124, 0.2248, 0.4808)
O (0.2528, 0.5057, 0.6640)
O (0.9121, 0.8242, 0.5814)
O (0.5052, 0.0104, 0.2618)
O (0.4948, 0.9896, 0.7618)
O (0.7472, 0.4943, 0.1640)
O (0.3876, 0.7752, 0.9808)
Au (0.5451, 0.0901, 0.9396)
Au (0.4549, 0.9099, 0.4396)
Cu (0.2323, 0.4647, 0.0381)
Cu (0.7677, 0.5353, 0.5381)

As for the uncorrected energy: -5.336 eV/atom. The value obtained for the raw formation energy is -11.9 eV/f.u.



[10]
A plane-wave DFT calculation with GGA-PBE was carried out for a geometry-optimized VRh5W structure.

Cell lengths 3.9583, 3.9583, 6.7265 Å; angles 90.00, 90.00, 90.00 degrees
Fractional positions:
V (0.5000, 0.5000, 0.0000)
Rh (0.5000, 0.0000, 0.2210)
Rh (0.5000, 0.0000, 0.7790)
Rh (0.0000, 0.5000, 0.7790)
Rh (0.0000, 0.5000, 0.2210)
Rh (0.5000, 0.5000, 0.5000)
W (0.0000, 0.0000, 0.5000)

For the energy relative to the lowest polymorph listed for this composition, the calculation gives 0.000 eV per atom. As for the uncorrected energy: -8.521 eV/atom.



[11]
A plane-wave DFT calculation with GGA-PBE was carried out for a geometry-optimized Th3B2RuRh9 structure.

Cell lengths 5.9158, 5.9158, 8.4947 Å; angles 90.00, 90.00, 120.00 degrees
Fractional positions:
Rh (0.6600, 0.8300, 0.2879)
Rh (0.0000, 0.5000, 0.0000)
Rh (0.8300, 0.6600, 0.7121)
Rh (0.1700, 0.8300, 0.2879)
Rh (0.5000, 0.0000, 0.0000)
Rh (0.3400, 0.1700, 0.7121)
Rh (0.5000, 0.5000, 0.0000)
Rh (0.1700, 0.3400, 0.2879)
Rh (0.8300, 0.1700, 0.7121)
B (0.3333, 0.6667, 0.1430)
B (0.6667, 0.3333, 0.8570)
Th (0.0000, 0.0000, 0.0000)
Th (0.3333, 0.6667, 0.6495)
Th (0.6667, 0.3333, 0.3505)
Ru (0.0000, 0.0000, 0.5000)

As for the uncorrected energy: -7.997 eV/atom.



[12]
A plane-wave DFT calculation with GGA-PBE was carried out for a geometry-optimized MnVRh2 structure.

Cell lengths 3.7661, 3.7661, 8.8988 Å; angles 77.78, 77.78, 90.00 degrees
Fractional positions:
V (0.2500, 0.7500, 0.5000)
V (0.5000, 0.5000, 0.0000)
Mn (0.0000, 0.0000, 0.0000)
Mn (0.7500, 0.2500, 0.5000)
Rh (0.8750, 0.8770, 0.7500)
Rh (0.3750, 0.3730, 0.7500)
Rh (0.1230, 0.6250, 0.2500)
Rh (0.6270, 0.1250, 0.2500)

As for the uncorrected energy: -8.003 eV/atom.



Density of states at the Fermi level
In order: 2.03, 24.99, 3.03, 8.36, 30.08, 13.47, 2.47, 0.00, 7.00, 7.48, 9.10, 8.03
Unit: states/eV per cell